Record 1
7
Lattice="6.516 0.000 0.000 0.000 3.486 0.000 -3.076 0.000 8.583" Properties=species:S:1:pos:R:3 comment="Ho4In2Ru, relaxed, DFT PBE" formation_energy_ev_per_atom=-0.27 pbc="T T T"
Ho -0.005 0.000 2.175
Ho 0.176 1.743 5.572
Ho 3.264 1.743 3.011
Ho 3.445 0.000 6.408
In 1.754 1.743 0.013
In 1.686 1.743 8.570
Ru -1.538 0.000 4.291

Record 2
8
Lattice="2.922 0.000 0.000 0.000 2.922 0.000 0.000 0.000 14.710" Properties=species:S:1:pos:R:3 comment="Ta3ZnIr4, relaxed, DFT PBE" formation_energy_ev_per_atom=-0.52 pbc="T T T"
Ta 0.000 0.000 0.000
Ta 0.000 0.000 3.834
Ta 0.000 0.000 10.876
Zn 0.000 0.000 7.355
Ir 1.461 1.461 1.900
Ir 1.461 1.461 5.636
Ir 1.461 1.461 9.074
Ir 1.461 1.461 12.810

Record 3
18
Lattice="2.919 -10.252 0.000 2.919 10.252 0.000 0.000 0.000 10.936" Properties=species:S:1:pos:R:3 comment="Ac2PrSm5Tm, relaxed, DFT PBE" formation_energy_ev_per_atom=0.15 pbc="T T T"
Ac 2.919 7.914 5.468
Ac 2.919 7.864 0.941
Ac 2.919 -7.864 6.409
Ac 2.919 -7.914 0.000
Pr 2.919 1.827 2.555
Pr 2.919 -1.827 8.023
Sm 2.919 9.870 8.641
Sm 2.919 4.477 0.899
Sm 2.919 4.193 5.191
Sm 2.919 2.357 8.618
Sm 2.919 0.341 5.582
Sm 2.919 -0.341 0.114
Sm 2.919 -2.357 3.150
Sm 2.919 -4.193 10.659
Sm 2.919 -4.477 6.367
Sm 2.919 -9.870 3.173
Tm 2.919 6.043 8.527
Tm 2.919 -6.043 3.059

Record 4
4
Lattice="3.433 0.000 0.000 0.000 3.433 0.000 0.000 0.000 7.710" Properties=species:S:1:pos:R:3 comment="NpSb2Pd, relaxed, DFT PBE" raw_formation_energy_ev_per_atom=-0.102 pbc="T T T"
Np 0.000 0.000 0.000
Sb 1.716 1.716 2.176
Sb 1.716 1.716 5.534
Pd 0.000 0.000 3.855

Summary of total DFT energy (no corrections) in eV per atom
-4.9963; -9.5504; -4.4174; -6.6966
(order as listed above)